This record from Alexandria via LeMat-Bulk describes a relaxed structure of Ac3Zr5S12. The functional is PBE.

It has space group Ia-3d (No. 230), with a = 16.085 Å, b = 16.085 Å, c = 16.085 Å, α = 90.00°, β = 90.00° and γ = 90.00°. Symmetry generates all atoms from Ac at (0.000, 0.250, 0.125), Zr at (0.000, 0.000, 0.000), Zr at (0.000, 0.250, 0.375) and S at (0.029, 0.060, 0.649).

For the raw formation energy, the calculation gives -1.6049 eV/atom. The value obtained for the density of states at the Fermi level is 0.746 states/eV per atom. The calculation puts the volume at 4162 Å³ per cell.


This record from Alexandria via LeMat-Bulk describes a relaxed structure of Ac2ZrS5. The functional is PBE.

It has space group Pnma (No. 62), with a = 11.771 Å, b = 8.482 Å, c = 7.590 Å, α = 90.00°, β = 90.00° and γ = 90.00°. Symmetry generates all atoms from Ac at (0.170, 0.003, 0.066), Zr at (0.010, 0.250, 0.572), S at (0.006, 0.250, 0.935), S at (0.068, 0.532, 0.677), S at (0.192, 0.250, 0.369) and S at (0.205, 0.750, 0.349).

For the raw formation energy, the calculation gives -1.9761 eV/atom. The calculation puts the volume at 758 Å³ per cell.


This record from Alexandria via LeMat-Bulk describes a relaxed structure of AcZr2S. The functional is PBE.

It has space group R-3m (No. 166, hexagonal axes), with a = 3.6462 Å, b = 3.6462 Å, c = 28.4889 Å, α = 90.00°, β = 90.00° and γ = 120.00°. Symmetry generates all atoms from Ac at (0.0000, 0.0000, 0.0000), Zr at (0.0000, 0.0000, 0.1187) and S at (0.0000, 0.0000, 0.5000).

For the raw formation energy, the calculation gives -0.4202 eV/atom. The value obtained for the density of states at the Fermi level is 0.826 states/eV per atom. The calculation puts the volume at 328 Å³ per cell.


This record from Alexandria via LeMat-Bulk describes a relaxed structure of AcZrS2. The functional is PBE.

It has space group R-3m (No. 166, hexagonal axes), with a = 3.9786 Å, b = 3.9786 Å, c = 19.6745 Å, α = 90.00°, β = 90.00° and γ = 120.00°. Symmetry generates all atoms from Ac at (0.0000, 0.0000, 0.0000), Zr at (0.0000, 0.0000, 0.5000) and S at (0.0000, 0.0000, 0.2368).

For the raw formation energy, the calculation gives -1.6397 eV/atom. The value obtained for the density of states at the Fermi level is 0.562 states/eV per atom. The calculation puts the volume at 270 Å³ per cell.


This record from Alexandria via LeMat-Bulk describes a relaxed structure of AcZr2S4. The functional is PBE.

It has space group Cmcm (No. 63), with a = 3.974 Å, b = 12.339 Å, c = 12.744 Å, α = 90.00°, β = 90.00° and γ = 90.00°. Symmetry generates all atoms from Ac at (0.000, 0.119, 0.250), Zr at (0.000, 0.385, 0.055), S at (0.000, 0.000, 0.000), S at (0.000, 0.263, 0.612) and S at (0.000, 0.440, 0.250).

For the raw formation energy, the calculation gives -1.6976 eV/atom. The value obtained for the density of states at the Fermi level is 0.521 states/eV per atom. The calculation puts the volume at 625 Å³ per cell.


This record from Alexandria via LeMat-Bulk describes a relaxed structure of Ac2ZrS6. The functional is PBE.

It has space group P-62m (No. 189), with a = 7.6390 Å, b = 7.6390 Å, c = 4.0617 Å, α = 90.00°, β = 90.00° and γ = 120.00°. Symmetry generates all atoms from Ac at (0.3333, 0.6667, 0.0000), Zr at (0.0000, 0.0000, 0.5000), S at (0.0000, 0.2294, 0.0000) and S at (0.0000, 0.6089, 0.5000).

For the raw formation energy, the calculation gives -1.5240 eV/atom. The value obtained for the density of states at the Fermi level is 0.557 states/eV per atom. The calculation puts the volume at 205 Å³ per cell.


This record from Alexandria via LeMat-Bulk describes a relaxed structure of Ac3ZrS6. The functional is PBE.

It has space group R-3 (No. 148, hexagonal axes), with a = 12.5824 Å, b = 12.5824 Å, c = 12.3491 Å, α = 90.00°, β = 90.00° and γ = 120.00°. Symmetry generates all atoms from Ac at (0.0496, 0.7716, 0.1599), Zr at (0.0000, 0.0000, 0.0000), Zr at (0.0000, 0.0000, 0.5000), S at (0.0324, 0.8315, 0.9009) and S at (0.0492, 0.8546, 0.3881).

For the raw formation energy, the calculation gives -1.9800 eV/atom. The value obtained for the density of states at the Fermi level is 0.290 states/eV per atom. The calculation puts the volume at 1693 Å³ per cell.


This record from Alexandria via LeMat-Bulk describes a relaxed structure of AcSb3. The functional is PBE.

It has space group Pmmm (No. 47), with a = 4.815 Å, b = 4.830 Å, c = 5.175 Å, α = 90.00°, β = 90.00° and γ = 90.00°. Symmetry generates all atoms from Ac at (0.000, 0.000, 0.000), Sb at (0.000, 0.500, 0.500), Sb at (0.500, 0.000, 0.500) and Sb at (0.500, 0.500, 0.000).

For the raw formation energy, the calculation gives -0.5632 eV/atom. The value obtained for the density of states at the Fermi level is 0.623 states/eV per atom. The calculation puts the volume at 120 Å³ per cell.


This record from Alexandria via LeMat-Bulk describes a relaxed structure of Ac3Sb2. The functional is PBE.

It has space group R-3m (No. 166, hexagonal axes), with a = 4.6805 Å, b = 4.6805 Å, c = 34.0661 Å, α = 90.00°, β = 90.00° and γ = 120.00°. Symmetry generates all atoms from Ac at (0.0000, 0.0000, 0.0000), Ac at (0.0000, 0.0000, 0.2180) and Sb at (0.0000, 0.0000, 0.3925).

For the raw formation energy, the calculation gives -0.8292 eV/atom. The value obtained for the density of states at the Fermi level is 0.997 states/eV per atom. The calculation puts the volume at 646 Å³ per cell.


This record from Alexandria via LeMat-Bulk describes a relaxed structure of Ac4Sb. The functional is PBE.

It has space group Pm-3m (No. 221), with a = 6.344 Å, b = 6.344 Å, c = 6.344 Å, α = 90.00°, β = 90.00° and γ = 90.00°. Symmetry generates all atoms from Ac at (0.000, 0.000, 0.000), Ac at (0.000, 0.500, 0.500) and Sb at (0.500, 0.500, 0.500).

For the raw formation energy, the calculation gives -0.0841 eV/atom. The value obtained for the density of states at the Fermi level is 1.974 states/eV per atom. The calculation puts the volume at 255 Å³ per cell.


This record from Alexandria via LeMat-Bulk describes a relaxed structure of AcSb5. The functional is PBE.

It has space group P2_1/m (No. 11), with a = 5.387 Å, b = 11.717 Å, c = 6.696 Å, α = 90.00°, β = 110.36° and γ = 90.00°. Symmetry generates all atoms from Ac at (0.170, 0.250, 0.433), Sb at (0.225, 0.250, 0.943), Sb at (0.255, 0.563, 0.393) and Sb at (0.331, 0.598, 0.987).

For the raw formation energy, the calculation gives -0.3308 eV/atom. The value obtained for the density of states at the Fermi level is 0.302 states/eV per atom. The calculation puts the volume at 396 Å³ per cell.


This record from Alexandria via LeMat-Bulk describes a relaxed structure of AcSb5. The functional is PBE.

It has space group Cmmm (No. 65), with a = 5.356 Å, b = 14.934 Å, c = 4.482 Å, α = 90.00°, β = 90.00° and γ = 90.00°. Symmetry generates all atoms from Ac at (0.000, 0.000, 0.000), Sb at (0.000, 0.198, 0.500), Sb at (0.000, 0.348, 0.000) and Sb at (0.000, 0.500, 0.500).

For the raw formation energy, the calculation gives -0.2988 eV/atom. The value obtained for the density of states at the Fermi level is 0.569 states/eV per atom. The calculation puts the volume at 359 Å³ per cell.


Question: Look up the volume of the eleventh one.
Answer: 396 Å³ per cell